First-principles (PBEsol) data for crystalline BaZn2Ni at its relaxed geometry, as listed in Alexandria via LeMat-Bulk.

Unit cell a=3.997 b=5.753 c=7.893 alpha=90.00 beta=90.00 gamma=90.00
Space group Immm (No. 71)
Asymmetric unit:
Ba (0.000, 0.000, 0.000) [2 per cell]
Zn (0.000, 0.500, 0.172) [4 per cell]
Ni (0.000, 0.000, 0.500) [2 per cell]

Values from the calculation:
E_tot (eV per atom): -2.734
Total moment (Bohr magnetons per cell): 0.00